Entry a
## Pr2Dy3Ho3 (PBE)

Data for a relaxed structure of Pr2Dy3Ho3.

a b c (Å): 5.5954 11.8725 16.0241
angles (deg): 90.00 90.00 90.00
Space group Cmcm (No. 63)
Unique sites:
Pr 0.0000 0.2189 0.1276 [8 per cell]
Dy 0.0000 0.3852 0.5516 [8 per cell]
Dy 0.0000 0.4589 0.2500 [4 per cell]
Ho 0.0000 0.0814 0.5883 [8 per cell]
Ho 0.0000 0.2599 0.7500 [4 per cell]

Values from the calculation:
The mass density comes out at 7.89 g/cm³. The calculation puts the density of states at the Fermi level at 14.7 states/eV/f.u. For the total moment, the calculation gives 0.00 μB/atom.

Entry b
## Pr2Dy3Ho3 (PBE)

Data for a relaxed structure of Pr2Dy3Ho3.

a b c (Å): 8.7652 8.7652 11.8528
angles (deg): 90.00 90.00 120.00
Space group R32 (No. 155, hexagonal axes)
Unique sites:
Pr 0.0000 0.0000 0.2499 [6 per cell]
Dy 0.0000 0.7662 0.0000 [9 per cell]
Ho 0.0000 0.2331 0.5000 [9 per cell]

Values from the calculation:
The mass density comes out at 7.99 g/cm³. The calculation puts the density of states at the Fermi level at 16.7 states/eV/f.u. For the total moment, the calculation gives 0.00 μB/atom.

The structure with the most favorable energy is entry a; the runner-up is 0.073 eV/atom above it.

Entry a
## Pr2DyHo4 (PBE)

Data for a relaxed structure of Pr2DyHo4.

a b c (Å): 7.1604 7.9982 9.4687
angles (deg): 104.59 112.14 102.94
Space group P1 (No. 1)
Unique sites:
Pr 0.0000 0.0000 0.0000 [1 per cell]
Pr 0.0716 0.5675 0.8569 [1 per cell]
Pr 0.2871 0.2856 0.4316 [1 per cell]
Pr 0.7844 0.2824 0.4253 [1 per cell]
Dy 0.6412 0.1389 0.7145 [1 per cell]
Dy 0.8546 0.8500 0.2835 [1 per cell]
Ho 0.1435 0.1379 0.7139 [1 per cell]
Ho 0.2168 0.7173 0.5733 [1 per cell]
Ho 0.3563 0.8519 0.2860 [1 per cell]
Ho 0.4301 0.4284 0.1421 [1 per cell]
Ho 0.5002 0.9981 0.9991 [1 per cell]
Ho 0.5714 0.5694 0.8576 [1 per cell]
Ho 0.7149 0.7152 0.5707 [1 per cell]
Ho 0.9281 0.4294 0.1431 [1 per cell]

Values from the calculation:
The mass density comes out at 8.07 g/cm³. The calculation puts the density of states at the Fermi level at 9.5 states/eV/f.u. For the total moment, the calculation gives 0.00 μB/atom.

Entry b
## Pr2DyHo4 (PBE)

Data for a relaxed structure of Pr2DyHo4.

a b c (Å): 8.4545 8.4545 6.5523
angles (deg): 90.00 90.00 90.00
Space group I4/mmm (No. 139)
Unique sites:
Pr 0.0000 0.5000 0.2500 [4 per cell]
Dy 0.0000 0.0000 0.0000 [2 per cell]
Ho 0.1982 0.1982 0.5000 [8 per cell]

Values from the calculation:
The mass density comes out at 7.83 g/cm³. The calculation puts the density of states at the Fermi level at 12.1 states/eV/f.u. For the total moment, the calculation gives 0.00 μB/atom.

The structure with the most favorable energy is entry a; the runner-up is 0.237 eV/atom above it.

Entry a
## Pr4Dy3Ho2 (PBE)

Data for a relaxed structure of Pr4Dy3Ho2.

a b c (Å): 12.9369 3.6623 14.4915
angles (deg): 90.00 116.11 90.00
Space group C2/m (No. 12)
Unique sites:
Pr 0.2170 0.0000 0.1081 [4 per cell]
Pr 0.2236 0.5000 0.3721 [4 per cell]
Dy 0.0000 0.5000 0.5000 [2 per cell]
Dy 0.0081 0.5000 0.8884 [4 per cell]
Ho 0.0471 0.0000 0.7089 [4 per cell]

Values from the calculation:
The mass density comes out at 7.44 g/cm³. The calculation puts the density of states at the Fermi level at 12.6 states/eV/f.u. For the total moment, the calculation gives 0.00 μB/atom.

Entry b
## Pr4Dy3Ho2 (PBE)

Data for a relaxed structure of Pr4Dy3Ho2.

a b c (Å): 11.7968 15.4179 7.2648
angles (deg): 90.00 107.32 90.00
Space group C2/c (No. 15)
Unique sites:
Pr 0.1264 0.1923 0.4394 [8 per cell]
Pr 0.1537 0.4048 0.2006 [8 per cell]
Dy 0.0000 0.0040 0.7500 [4 per cell]
Dy 0.1206 0.3780 0.6803 [8 per cell]
Ho 0.1230 0.1971 0.9525 [8 per cell]

Values from the calculation:
The mass density comes out at 7.27 g/cm³. The calculation puts the density of states at the Fermi level at 12.2 states/eV/f.u. For the total moment, the calculation gives 0.00 μB/atom.

The structure with the most favorable energy is entry a; the runner-up is 0.144 eV/atom above it.

Entry a
## PrDy4Ho5 (PBE)

Data for a relaxed structure of PrDy4Ho5.

a b c (Å): 10.1966 10.1966 6.2735
angles (deg): 90.00 90.00 90.00
Space group I4 (No. 79)
Unique sites:
Pr 0.0000 0.0000 0.0000 [2 per cell]
Dy 0.0502 0.6500 0.2318 [8 per cell]
Ho 0.0000 0.0000 0.4577 [2 per cell]
Ho 0.1457 0.7663 0.7270 [8 per cell]

Values from the calculation:
The mass density comes out at 8.23 g/cm³. The calculation puts the density of states at the Fermi level at 14.4 states/eV/f.u. For the total moment, the calculation gives 0.00 μB/atom.

Entry b
## PrDy4Ho5 (PBE)

Data for a relaxed structure of PrDy4Ho5.

a b c (Å): 3.5530 6.6686 14.1211
angles (deg): 98.68 93.20 103.86
Space group P-1 (No. 2)
Unique sites:
Pr 0.0000 0.0000 0.0000 [1 per cell]
Dy 0.1162 0.8091 0.2178 [2 per cell]
Dy 0.1950 0.7271 0.8035 [2 per cell]
Ho 0.2041 0.8806 0.5835 [2 per cell]
Ho 0.4911 0.4264 0.6132 [2 per cell]
Ho 0.5000 0.5000 0.0000 [1 per cell]

Values from the calculation:
The mass density comes out at 8.39 g/cm³. The calculation puts the density of states at the Fermi level at 16.1 states/eV/f.u. For the total moment, the calculation gives 0.00 μB/atom.

The structure with the most favorable energy is entry b; the runner-up is 0.241 eV/atom above it.

Entry a
## Pr5Dy4Ho (PBE)

Data for a relaxed structure of Pr5Dy4Ho.

a b c (Å): 18.3568 3.6146 10.5709
angles (deg): 90.00 96.13 90.00
Space group C2/m (No. 12)
Unique sites:
Pr 0.0000 0.0000 0.0000 [2 per cell]
Pr 0.1413 0.5000 0.7282 [4 per cell]
Pr 0.1899 0.5000 0.1001 [4 per cell]
Dy 0.0458 0.5000 0.2644 [4 per cell]
Dy 0.1822 0.0000 0.4145 [4 per cell]
Ho 0.0000 0.0000 0.5000 [2 per cell]

Values from the calculation:
The mass density comes out at 7.24 g/cm³. The calculation puts the density of states at the Fermi level at 15.3 states/eV/f.u. For the total moment, the calculation gives 0.00 μB/atom.

Entry b
## Pr5Dy4Ho (PBE)

Data for a relaxed structure of Pr5Dy4Ho.

a b c (Å): 18.8083 3.6302 10.2676
angles (deg): 90.00 106.05 90.00
Space group C2/m (No. 12)
Unique sites:
Pr 0.0000 0.0000 0.0000 [2 per cell]
Pr 0.0996 0.5000 0.3058 [4 per cell]
Pr 0.2002 0.0000 0.1004 [4 per cell]
Dy 0.1005 0.5000 0.7947 [4 per cell]
Dy 0.1994 0.0000 0.5998 [4 per cell]
Ho 0.0000 0.0000 0.5000 [2 per cell]

Values from the calculation:
The mass density comes out at 7.49 g/cm³. The calculation puts the density of states at the Fermi level at 13.2 states/eV/f.u. For the total moment, the calculation gives 0.00 μB/atom.

The structure with the most favorable energy is entry b; the runner-up is 0.120 eV/atom above it.

Entry a
## PrDy2Ho7 (PBE)

Data for a relaxed structure of PrDy2Ho7.

a b c (Å): 8.7021 16.0839 5.5973
angles (deg): 90.00 90.00 90.00
Space group Cmmm (No. 65)
Unique sites:
Pr 0.0000 0.0000 0.0000 [2 per cell]
Dy 0.0000 0.2967 0.5000 [4 per cell]
Ho 0.0000 0.2166 0.0000 [4 per cell]
Ho 0.0000 0.5000 0.5000 [2 per cell]
Ho 0.1766 0.1151 0.5000 [8 per cell]

Values from the calculation:
The mass density comes out at 6.87 g/cm³. The calculation puts the density of states at the Fermi level at 14.3 states/eV/f.u. For the total moment, the calculation gives 0.00 μB/atom.

Entry b
## PrDy2Ho7 (PBE)

Data for a relaxed structure of PrDy2Ho7.

a b c (Å): 6.1303 7.0928 7.9204
angles (deg): 77.01 75.11 73.34
Space group P-1 (No. 2)
Unique sites:
Pr 0.0000 0.0000 0.0000 [1 per cell]
Dy 0.2009 0.7992 0.5990 [2 per cell]
Ho 0.0000 0.5000 0.0000 [1 per cell]
Ho 0.1994 0.3012 0.5993 [2 per cell]
Ho 0.4001 0.1004 0.2013 [2 per cell]
Ho 0.4014 0.5986 0.2010 [2 per cell]

Values from the calculation:
The mass density comes out at 8.55 g/cm³. The calculation puts the density of states at the Fermi level at 12.3 states/eV/f.u. For the total moment, the calculation gives 0.00 μB/atom.

The structure with the most favorable energy is entry b; the runner-up is 0.684 eV/atom above it.

Entry a
## Pr2Dy4Ho5 (PBE)

Data for a relaxed structure of Pr2Dy4Ho5.

a b c (Å): 23.8418 3.4605 8.7323
angles (deg): 90.00 96.62 90.00
Space group C2/m (No. 12)
Unique sites:
Pr 0.0924 0.0000 0.2439 [4 per cell]
Dy 0.0458 0.0000 0.8602 [4 per cell]
Dy 0.1781 0.5000 0.9732 [4 per cell]
Ho 0.0000 0.5000 0.5000 [2 per cell]
Ho 0.1414 0.0000 0.6233 [4 per cell]
Ho 0.2339 0.0000 0.3266 [4 per cell]

Values from the calculation:
The mass density comes out at 8.15 g/cm³. The calculation puts the density of states at the Fermi level at 20.9 states/eV/f.u. For the total moment, the calculation gives 0.00 μB/atom.

Entry b
## Pr2Dy4Ho5 (PBE)

Data for a relaxed structure of Pr2Dy4Ho5.

a b c (Å): 3.4918 11.4877 18.3657
angles (deg): 90.00 90.00 90.00
Space group Immm (No. 71)
Unique sites:
Pr 0.0000 0.0000 0.2023 [4 per cell]
Dy 0.0000 0.0000 0.4102 [4 per cell]
Dy 0.0000 0.2738 0.0000 [4 per cell]
Ho 0.0000 0.2904 0.1783 [8 per cell]
Ho 0.0000 0.5000 0.5000 [2 per cell]

Values from the calculation:
The mass density comes out at 7.92 g/cm³. The calculation puts the density of states at the Fermi level at 13.2 states/eV/f.u. For the total moment, the calculation gives 0.00 μB/atom.

The structure with the most favorable energy is entry a; the runner-up is 0.053 eV/atom above it.

Entry a
## Pr3Dy2Ho (PBE)

Data for a relaxed structure of Pr3Dy2Ho.

a b c (Å): 10.9366 6.3109 11.6634
angles (deg): 90.00 90.00 90.00
Space group Cmcm (No. 63)
Unique sites:
Pr 0.0000 0.0000 0.0000 [4 per cell]
Pr 0.1664 0.5000 0.0000 [8 per cell]
Dy 0.1667 0.1662 0.2500 [8 per cell]
Ho 0.0000 0.3338 0.7500 [4 per cell]

Values from the calculation:
The mass density comes out at 7.53 g/cm³. The calculation puts the density of states at the Fermi level at 7.2 states/eV/f.u. For the total moment, the calculation gives 0.00 μB/atom.

Entry b
## Pr3Dy2Ho (PBE)

Data for a relaxed structure of Pr3Dy2Ho.

a b c (Å): 13.3176 3.5652 17.8355
angles (deg): 90.00 102.44 90.00
Space group C2/m (No. 12)
Unique sites:
Pr 0.0679 0.0000 0.1687 [4 per cell]
Pr 0.1273 0.5000 0.9905 [4 per cell]
Pr 0.2345 0.5000 0.3380 [4 per cell]
Dy 0.1317 0.5000 0.5003 [4 per cell]
Dy 0.1960 0.0000 0.8339 [4 per cell]
Ho 0.0407 0.5000 0.6809 [4 per cell]

Values from the calculation:
The mass density comes out at 7.33 g/cm³. The calculation puts the density of states at the Fermi level at 9.7 states/eV/f.u. For the total moment, the calculation gives 0.00 μB/atom.

The structure with the most favorable energy is entry a; the runner-up is 0.113 eV/atom above it.

Entry a
## Pr5Dy2Ho (PBE)

Data for a relaxed structure of Pr5Dy2Ho.

a b c (Å): 7.2797 14.5774 5.1673
angles (deg): 90.00 90.00 90.00
Space group Pbam (No. 55)
Unique sites:
Pr 0.0000 0.0000 0.0000 [2 per cell]
Pr 0.0030 0.2518 0.0000 [4 per cell]
Pr 0.2467 0.6236 0.5000 [4 per cell]
Dy 0.2487 0.8762 0.5000 [4 per cell]
Ho 0.0000 0.5000 0.0000 [2 per cell]

Values from the calculation:
The mass density comes out at 7.23 g/cm³. The calculation puts the density of states at the Fermi level at 12.0 states/eV/f.u. For the total moment, the calculation gives 0.00 μB/atom.

Entry b
## Pr5Dy2Ho (PBE)

Data for a relaxed structure of Pr5Dy2Ho.

a b c (Å): 13.0651 15.9641 6.0734
angles (deg): 90.00 117.19 90.00
Space group C2/c (No. 15)
Unique sites:
Pr 0.0000 0.2031 0.2500 [4 per cell]
Pr 0.1602 0.4463 0.4109 [8 per cell]
Pr 0.1897 0.1461 0.9396 [8 per cell]
Dy 0.0000 0.0000 0.0000 [4 per cell]
Dy 0.2500 0.2500 0.5000 [4 per cell]
Ho 0.0000 0.3440 0.7500 [4 per cell]

Values from the calculation:
The mass density comes out at 7.04 g/cm³. The calculation puts the density of states at the Fermi level at 13.1 states/eV/f.u. For the total moment, the calculation gives 0.00 μB/atom.

The structure with the most favorable energy is entry a; the runner-up is 0.220 eV/atom above it.

Entry a
## Pr3DyHo7 (PBE)

Data for a relaxed structure of Pr3DyHo7.

a b c (Å): 6.5224 6.6983 8.6236
angles (deg): 99.43 98.35 95.29
Space group P-1 (No. 2)
Unique sites:
Pr 0.0000 0.0000 0.0000 [1 per cell]
Pr 0.1971 0.5622 0.1645 [2 per cell]
Dy 0.5000 0.0000 0.5000 [1 per cell]
Ho 0.0128 0.7679 0.5798 [2 per cell]
Ho 0.2799 0.2748 0.7859 [2 per cell]
Ho 0.4382 0.7914 0.8545 [2 per cell]
Ho 0.5000 0.5000 0.5000 [1 per cell]

Values from the calculation:
The mass density comes out at 7.91 g/cm³. The calculation puts the density of states at the Fermi level at 17.5 states/eV/f.u. For the total moment, the calculation gives 0.00 μB/atom.

Entry b
## Pr3DyHo7 (PBE)

Data for a relaxed structure of Pr3DyHo7.

a b c (Å): 7.0705 7.0705 8.7068
angles (deg): 90.00 90.00 120.00
Space group P3m1 (No. 156)
Unique sites:
Pr 0.9999 0.5000 0.0000 [3 per cell]
Dy 0.3333 0.6667 0.6600 [1 per cell]
Ho 0.1674 0.3349 0.3387 [3 per cell]
Ho 0.3349 0.1675 0.6608 [3 per cell]
Ho 0.6667 0.3333 0.3399 [1 per cell]

Values from the calculation:
The mass density comes out at 7.66 g/cm³. The calculation puts the density of states at the Fermi level at 16.8 states/eV/f.u. For the total moment, the calculation gives 0.00 μB/atom.

The structure with the most favorable energy is entry a; the runner-up is 0.049 eV/atom above it.